## CsLiCdCl4 (GGA-PBE)

Data for a geometry-optimized CsLiCdCl4 structure.

Lattice parameters (Å, degrees): 6.803 7.222 9.289 90.00 103.94 90.00
Positions (direct):
Cs 0.237 0.250 0.049
Cs 0.763 0.750 0.951
Li 0.116 0.250 0.492
Li 0.884 0.750 0.508
Cd 0.259 0.750 0.334
Cd 0.741 0.250 0.666
Cl 0.020 0.007 0.688
Cl 0.020 0.493 0.688
Cl 0.322 0.750 0.081
Cl 0.453 0.250 0.449
Cl 0.547 0.750 0.551
Cl 0.678 0.250 0.919
Cl 0.980 0.507 0.312
Cl 0.980 0.993 0.312

Output
Energy in eV/atom: -3.121
Uncorrected formation energy in meV/atom: -1540
DOS(E_F) in states/eV per cell: 0.00
Mass density in Mg/m³: 3.0